Compound: Co5PdSe12
Source: the Alexandria database
Functional: PBE-GGA
Structure: optimized geometry

As for the space group: No. 12. As for the volume: 350.62 Å³ per cell. As for the energy relative to the elements, uncorrected: -265 meV per atom.

Cell and atoms, written as POSCAR:
```
Co5PdSe12
1.0
-2.875 -3.352 -4.408
1.054 -5.980 -0.556
-7.847 -1.827 7.091
Se Co Pd
12 5 1
direct
0.153 0.333 0.386
0.648 0.352 0.121
0.000 0.352 0.879
0.847 0.667 0.614
0.352 0.648 0.879
0.180 0.000 0.612
0.514 0.333 0.614
0.644 0.000 0.882
0.820 0.000 0.388
0.486 0.667 0.386
0.356 0.000 0.118
0.000 0.648 0.121
0.670 0.660 0.000
0.169 0.662 0.500
0.330 0.340 0.000
0.831 0.338 0.500
0.500 0.000 0.500
0.000 0.000 0.000
```